Below is a relaxed structure of TcIr3Pt, with properties calculated at the PBE level.

abc: 4.640 4.640 4.640
angles: 90.00 90.00 90.00
Element x y z (fractional)
Tc: 0.000 0.000 0.000
Ir: 0.000 0.000 0.500
Ir: 0.000 0.500 0.000
Ir: 0.500 0.000 0.000
Pt: 0.500 0.500 0.500

total moment	0.0	μB per cell
E_tot	-6.758	eV/atom
calculated volume	20.0	A^3/atom
space group	Pm-3m (221)